VASP calculation (GGA-PBE) on a geometry-optimized ErZn9Fe3 structure.

Unit cell a=5.0468 b=6.7614 c=6.6459 alpha=81.42 beta=67.69 gamma=66.86
Each line ends with the local moment (μB).
Element x y z (fractional)
1 Zn 0.5035 0.2218 0.7753  -0.03
2 Zn 0.2788 0.2218 0.2247  -0.03
3 Fe 0.5000 0.5000 0.0000  1.71
4 Zn 0.9847 0.3373 0.6537  -0.03
5 Er 0.0000 0.0000 0.0000  -0.12
6 Zn 0.6384 0.3373 0.3463  -0.03
7 Zn 0.7212 0.7782 0.7753  -0.03
8 Zn 0.3616 0.6627 0.6537  -0.03
9 Zn 0.4965 0.7782 0.2247  -0.03
10 Zn 0.0000 0.5000 0.0000  -0.03
11 Zn 0.0153 0.6627 0.3463  -0.03
12 Fe 0.0000 0.0000 0.5000  2.07
13 Fe 0.5000 0.0000 0.5000  2.07

Calculated total energy ... -3.277 eV/atom
Mass density ... 7.9 g/cm³
Formation energy from the elements ... -91 meV per atom